No. 1
First-principles (GGA-PBE) data for a relaxed structure of ScSi2SnB, as listed in Alexandria via LeMat-Bulk.

Summary:
**Density**: 4.5 g/cm³
**Total magnetic moment**: 0.00 μB/cell
**DFT total energy**: -5.4259 eV/atom
**Energy relative to the elements, uncorrected**: 0.146 eV per atom

a = 4.2101 Å, b = 4.7511 Å, c = 4.2101 Å
α = 90.00°, β = 90.00°, γ = 90.00°
Fractional coordinates of all 5 atoms:
Sc1 0.0000 0.5000 0.0000
Si1 0.0000 0.0000 0.5000
Si2 0.5000 0.0000 0.0000
B1 0.0000 0.0000 0.0000
Sn1 0.5000 0.5000 0.5000

***

No. 2
First-principles (GGA-PBE) data for a relaxed structure of Sc2SiTc5B2, as listed in Alexandria via LeMat-Bulk.

Summary:
**Density**: 7.7 g/cm³
**Total magnetic moment**: 0.00 μB/cell
**DFT total energy**: -8.7461 eV/atom
**Energy relative to the elements, uncorrected**: -0.419 eV per atom

a = 3.1222 Å, b = 9.3006 Å, c = 9.3006 Å
α = 90.00°, β = 90.00°, γ = 90.00°
Fractional coordinates of all 20 atoms:
Sc1 0.0000 0.6726 0.1726
Sc2 0.0000 0.3274 0.8274
Sc3 0.0000 0.1726 0.3274
Sc4 0.0000 0.8274 0.6726
Si1 0.0000 0.0000 0.0000
Si2 0.0000 0.5000 0.5000
Tc1 0.5000 0.2057 0.0661
Tc2 0.5000 0.7943 0.9339
Tc3 0.5000 0.0661 0.7943
Tc4 0.5000 0.7057 0.4339
Tc5 0.5000 0.9339 0.2057
Tc6 0.5000 0.2943 0.5661
Tc7 0.5000 0.5661 0.7057
Tc8 0.5000 0.4339 0.2943
Tc9 0.5000 0.5000 0.0000
Tc10 0.5000 0.0000 0.5000
B1 0.0000 0.1272 0.6272
B2 0.0000 0.8728 0.3728
B3 0.0000 0.6272 0.8728
B4 0.0000 0.3728 0.1272

***

No. 3
First-principles (GGA-PBE) data for a relaxed structure of Sc2TiSiB, as listed in Alexandria via LeMat-Bulk.

Summary:
**Density**: 3.4 g/cm³
**Total magnetic moment**: 2.86 μB/cell
**DFT total energy**: -6.5332 eV/atom
**Energy relative to the elements, uncorrected**: -0.002 eV per atom

a = 4.6952 Å, b = 3.8830 Å, c = 4.6952 Å
α = 90.00°, β = 90.00°, γ = 90.00°
Each line ends with the local moment (μB).
Fractional coordinates of all 5 atoms:
Sc1 0.0000 0.0000 0.5000  0.33
Sc2 0.5000 0.0000 0.0000  0.25
Si1 0.0000 0.5000 0.0000  -0.03
B1 0.0000 0.0000 0.0000  -0.01
Ti1 0.5000 0.5000 0.5000  1.54

***

No. 4
First-principles (GGA-PBE) data for a relaxed structure of ScZn2SiB, as listed in Alexandria via LeMat-Bulk.

Summary:
**Density**: 4.1 g/cm³
**Total magnetic moment**: 0.00 μB/cell
**DFT total energy**: -3.6518 eV/atom
**Energy relative to the elements, uncorrected**: 0.544 eV per atom

a = 4.8154 Å, b = 3.7415 Å, c = 4.8154 Å
α = 90.00°, β = 90.00°, γ = 90.00°
Fractional coordinates of all 5 atoms:
Sc1 0.5000 0.5000 0.5000
Zn1 0.0000 0.0000 0.5000
Zn2 0.5000 0.0000 0.0000
B1 0.0000 0.5000 0.0000
Si1 0.0000 0.0000 0.0000